VASP calculation (PBE-GGA) on a relaxed Ca3YU2As6 crystal.

Output
The formation energy comes out at -1.11 eV per atom. For the density, the calculation gives 6.10 Mg/m³. As for the total energy: -6.35 eV/atom.

Cell and atoms, written as POSCAR:
```
Ca3YU2As6
1.0
-0.1516 2.3956 -6.8139
4.5736 -5.2690 1.8738
-6.2248 -3.7144 0.1087
Y As Ca U
1 6 3 2
Direct
0.0000 0.0000 0.0000
0.4182 0.0771 0.2306
0.2641 0.2641 0.7687
0.9229 0.5818 0.7694
0.5818 0.9229 0.7694
0.7359 0.7359 0.2313
0.0771 0.4182 0.2306
0.5000 0.5000 0.5000
0.1646 0.8354 0.5000
0.8354 0.1646 0.5000
0.3330 0.6670 0.0000
0.6670 0.3330 0.0000
```